The following is a PBE calculation of crystalline CsCd2InAg at its relaxed geometry, from the Alexandria database.

ΔE to the lowest computed polymorph: 16 meV/atom
Energy: -7.9 eV for the cell shown
Space group: P4/mmm (123)
Energy of formation: 0.068 eV/atom
Theoretical density: 5.23 g/cm³
DOS at the Fermi energy: 1.5 states/eV per cell

Unit cell a=5.762 b=5.762 c=5.548 alpha=90.00 beta=90.00 gamma=90.00
Fractional coordinates of all 5 atoms:
Cd  0.000  0.500  0.000
Cd  0.500  0.000  0.000
In  0.000  0.000  0.000
Cs  0.500  0.500  0.500
Ag  0.000  0.000  0.500

The following is a PBE calculation of crystalline Cs2Cd6InAg at its relaxed geometry, from the Alexandria database.

Energy: -12.4 eV for the cell shown
Space group: C2/m (12)
Energy of formation: 0.036 eV/atom
Theoretical density: 5.30 g/cm³
DOS at the Fermi energy: 4.4 states/eV per cell

Unit cell a=8.043 b=8.043 c=7.989 alpha=59.94 beta=59.94 gamma=90.14
Fractional coordinates of all 10 atoms:
Ag  0.500  0.500  0.000
Cd  0.259  0.742  0.000
Cd  0.258  0.258  0.000
Cd  0.257  0.257  0.485
Cs  0.250  0.750  0.500
In  0.000  0.000  0.000
Cd  0.743  0.743  0.515
Cd  0.742  0.742  0.000
Cd  0.741  0.258  0.000
Cs  0.750  0.250  0.500

The following is a PBE calculation of crystalline Cs2CdInAg at its relaxed geometry, from the Alexandria database.

Energy: -7.6 eV for the cell shown
Space group: P4/mmm (123)
Energy of formation: 0.114 eV/atom
Theoretical density: 3.74 g/cm³
DOS at the Fermi energy: 5.4 states/eV per cell

Unit cell a=7.073 b=7.073 c=5.331 alpha=90.00 beta=90.00 gamma=90.00
Fractional coordinates of all 5 atoms:
Ag  0.000  0.000  0.000
In  0.000  0.000  0.500
Cs  0.000  0.500  0.000
Cd  0.500  0.500  0.500
Cs  0.500  0.000  0.000

The following is a PBE calculation of crystalline CsCdInAg at its relaxed geometry, from the Alexandria database.

Energy: -7.6 eV for the cell shown
Space group: Cm (8)
Energy of formation: -0.070 eV/atom
Theoretical density: 5.27 g/cm³
DOS at the Fermi energy: 1.9 states/eV per cell

Unit cell a=4.932 b=4.963 c=7.510 alpha=109.38 beta=90.00 gamma=119.79
Fractional coordinates of all 4 atoms:
Cs  0.613  0.226  0.480
In  0.135  0.270  0.048
Ag  0.793  0.586  0.021
Cd  0.425  0.851  0.918

The following is a PBE calculation of crystalline CsKCdAg at its relaxed geometry, from the Alexandria database.

ΔE to the lowest computed polymorph: 0 meV/atom
Energy: -5.9 eV for the cell shown
Space group: Cm (8)
Energy of formation: -0.038 eV/atom
Theoretical density: 3.34 g/cm³
DOS at the Fermi energy: 2.1 states/eV per cell

Unit cell a=5.007 b=5.007 c=9.420 alpha=90.17 beta=105.24 gamma=119.99
Fractional coordinates of all 4 atoms:
Ag  0.498  0.614  0.112
K  0.005  0.866  0.870
Cs  0.358  0.045  0.403
Cd  0.831  0.280  0.111

The following is a PBE calculation of crystalline CsKCd2Ag at its relaxed geometry, from the Alexandria database.

ΔE to the lowest computed polymorph: 0 meV/atom
Energy: -6.5 eV for the cell shown
Space group: Imm2 (44)
Energy of formation: 0.017 eV/atom
Theoretical density: 4.36 g/cm³
DOS at the Fermi energy: 3.5 states/eV per cell

Unit cell a=5.612 b=5.027 c=7.790 alpha=108.82 beta=111.11 gamma=90.00
Fractional coordinates of all 5 atoms:
Cd  0.032  0.032  0.065
K  0.203  0.703  0.405
Ag  0.825  0.825  0.650
Cs  0.449  0.449  0.898
Cd  0.703  0.203  0.406

The following is a PBE calculation of crystalline CsKCdAg at its relaxed geometry, from the Alexandria database.

ΔE to the lowest computed polymorph: 113 meV/atom
Energy: -5.4 eV for the cell shown
Space group: F-43m (216)
Energy of formation: 0.074 eV/atom
Theoretical density: 3.72 g/cm³
DOS at the Fermi energy: 2.4 states/eV per cell

Unit cell a=6.278 b=6.278 c=6.278 alpha=60.00 beta=60.00 gamma=60.00
Fractional coordinates of all 4 atoms:
K  0.500  0.500  0.500
Cd  0.750  0.750  0.750
Ag  0.250  0.250  0.250
Cs  0.000  0.000  0.000

The following is a PBE calculation of crystalline CsKCd2Ag at its relaxed geometry, from the Alexandria database.

ΔE to the lowest computed polymorph: 75 meV/atom
Energy: -6.2 eV for the cell shown
Space group: P4/mmm (123)
Energy of formation: 0.091 eV/atom
Theoretical density: 4.07 g/cm³
DOS at the Fermi energy: 2.1 states/eV per cell

Unit cell a=5.622 b=5.622 c=6.519 alpha=90.00 beta=90.00 gamma=90.00
Fractional coordinates of all 5 atoms:
Cd  0.000  0.500  0.000
Ag  0.000  0.000  0.000
Cs  0.000  0.000  0.500
K  0.500  0.500  0.500
Cd  0.500  0.000  0.000